Entry 1:
{"formula": "Be2TlAu", "functional": "GGA-PBEsol", "state": "optimized geometry", "delta_e_f_mev_per_atom": 475, "polymorph_energy_mev_per_atom": 352, "final_energy_ev_per_atom": -3.16, "lattice": [[3.799, 0.000, 0.000], [0.000, 3.799, 0.000], [0.000, 0.000, 8.281]], "species": ["Be", "Be", "Be", "Be", "Tl", "Tl", "Au", "Au"], "fractional_positions": [[0.000, 0.000, 0.000], [0.000, 0.500, 0.250], [0.500, 0.000, 0.750], [0.500, 0.500, 0.500], [0.000, 0.000, 0.500], [0.500, 0.500, 0.000], [0.000, 0.500, 0.750], [0.500, 0.000, 0.250]]}

---

Entry 2:
{"formula": "BeWAu2", "functional": "GGA-PBEsol", "state": "optimized geometry", "delta_e_f_mev_per_atom": 505, "final_energy_ev_per_atom": -5.91, "lattice": [[3.706, 0.000, 0.000], [0.000, 3.706, 0.000], [0.000, 0.000, 4.322]], "species": ["Be", "W", "Au", "Au"], "fractional_positions": [[0.000, 0.000, 0.000], [0.500, 0.500, 0.000], [0.000, 0.500, 0.500], [0.500, 0.000, 0.500]]}

---

Entry 3:
{"formula": "BeWAu", "functional": "GGA-PBEsol", "state": "optimized geometry", "delta_e_f_mev_per_atom": 318, "final_energy_ev_per_atom": -6.93, "lattice": [[2.756, 0.000, 0.000], [-1.378, 2.386, 0.000], [0.000, 0.000, 6.424]], "species": ["Be", "W", "Au"], "fractional_positions": [[0.000, 0.000, 0.000], [0.333, 0.667, 0.684], [0.667, 0.333, 0.304]]}

---

Entry 4:
{"formula": "BeWAu2", "functional": "GGA-PBEsol", "state": "optimized geometry", "delta_e_f_mev_per_atom": 450, "final_energy_ev_per_atom": -5.96, "lattice": [[4.719, 0.000, 0.000], [0.000, 4.719, 0.000], [0.000, 0.000, 2.749]], "species": ["Be", "W", "Au", "Au"], "fractional_positions": [[0.000, 0.000, 0.000], [0.500, 0.500, 0.000], [0.000, 0.500, 0.500], [0.500, 0.000, 0.500]]}

---

Entry 5:
{"formula": "BeW3Au", "functional": "GGA-PBEsol", "state": "optimized geometry", "delta_e_f_mev_per_atom": 3065, "final_energy_ev_per_atom": -6.80, "lattice": [[4.766, 0.000, 0.000], [0.000, 4.766, 0.000], [0.000, 0.000, 4.766]], "species": ["Be", "W", "W", "W", "Au"], "fractional_positions": [[0.000, 0.000, 0.000], [0.000, 0.500, 0.500], [0.500, 0.000, 0.500], [0.500, 0.500, 0.000], [0.500, 0.500, 0.500]]}

---

Entry 6:
{"formula": "BeW2Au", "functional": "GGA-PBEsol", "state": "optimized geometry", "delta_e_f_mev_per_atom": 390, "final_energy_ev_per_atom": -8.49, "lattice": [[8.932, 0.000, 0.000], [0.000, 2.673, 0.000], [-0.386, 0.000, 4.958]], "species": ["Be", "Be", "W", "W", "W", "W", "Au", "Au"], "fractional_positions": [[0.000, 0.000, 0.000], [0.500, 0.500, 0.000], [0.002, 0.500, 0.539], [0.256, 0.000, 0.774], [0.502, 0.000, 0.539], [0.756, 0.500, 0.774], [0.258, 0.500, 0.251], [0.758, 0.000, 0.251]]}

---

- Number 1 is which compound?
  Be2TlAu